a:
Computed, not measured: a geometry-optimized Mn2CuF structure at the GGA+U level of DFT.

Output
volume = 16.2 Å³/atom
total magnetization = 9.70 μB/f.u.
space-group type = I-42d

Cell lengths 6.372, 6.372, 5.521 Å; angles 54.75, 54.75, 90.00 degrees
Each line ends with the local moment (μB).
Element x y z (fractional)
Mn 0.582 0.125 0.250  4.56
Mn 0.168 0.625 0.250  4.56
Mn 0.375 0.418 0.750  4.55
Mn 0.875 0.832 0.750  4.55
Cu 0.000 0.000 0.000  0.09
Cu 0.750 0.250 0.500  0.08
F 0.500 0.500 0.000  0.08
F 0.250 0.750 0.500  0.08


b:
Computed, not measured: a geometry-optimized Mn2CuF structure at the GGA+U level of DFT.

Output
volume = 15.5 Å³/atom
total magnetization = 9.48 μB/f.u.
space-group type = Fm-3m

Cell lengths 4.440, 4.440, 4.440 Å; angles 60.00, 60.00, 60.00 degrees
Each line ends with the local moment (μB).
Element x y z (fractional)
Mn 0.250 0.250 0.250  4.50
Mn 0.750 0.750 0.750  4.50
Cu 0.500 0.500 0.500  0.08
F 0.000 0.000 0.000  0.06


Which one sits at the bottom of the stability order? b does.


a:
Computed, not measured: a geometry-optimized Cu2MoF structure at the GGA+U level of DFT.

Output
volume = 15.2 Å³/atom
total magnetization = 4.31 μB/f.u.
space-group type = Fm-3m

Cell lengths 4.415, 4.415, 4.415 Å; angles 60.00, 60.00, 60.00 degrees
Each line ends with the local moment (μB).
Element x y z (fractional)
Mo 0.500 0.500 0.500  3.60
Cu 0.250 0.250 0.250  0.10
Cu 0.750 0.750 0.750  0.10
F 0.000 0.000 0.000  0.07


b:
Computed, not measured: a geometry-optimized Cu2MoF structure at the GGA+U level of DFT.

Output
volume = 15.1 Å³/atom
total magnetization = 3.39 μB/f.u.
space-group type = I-42d

Cell lengths 7.321, 7.321, 5.646 Å; angles 49.58, 49.58, 90.00 degrees
Each line ends with the local moment (μB).
Element x y z (fractional)
Mo 0.000 0.000 0.000  3.11
Mo 0.750 0.250 0.500  3.10
Cu 0.588 0.125 0.250  0.05
Cu 0.162 0.625 0.250  0.04
Cu 0.375 0.412 0.750  0.05
Cu 0.875 0.838 0.750  0.05
F 0.500 0.500 0.000  0.03
F 0.250 0.750 0.500  0.03


Which one sits at the bottom of the stability order? a does.


a:
Computed, not measured: a geometry-optimized CuMo2F2 structure at the GGA+U level of DFT.

Output
volume = 17.2 Å³/atom
total magnetization = 7.52 μB/f.u.
space-group type = P4/mmm

Cell lengths 4.420, 4.420, 4.412 Å; angles 90.00, 90.00, 90.00 degrees
Each line ends with the local moment (μB).
Element x y z (fractional)
Mo 0.000 0.500 0.000  3.40
Mo 0.500 0.000 0.000  3.40
Cu 0.500 0.500 0.500  0.04
F 0.000 0.000 0.000  0.03
F 0.000 0.000 0.500  0.08


b:
Computed, not measured: a geometry-optimized CuMo2F2 structure at the GGA+U level of DFT.

Output
volume = 17.4 Å³/atom
total magnetization = 8.48 μB/f.u.
space-group type = I4/mmm

Cell lengths 4.685, 4.685, 5.159 Å; angles 63.00, 63.00, 90.00 degrees
Each line ends with the local moment (μB).
Element x y z (fractional)
Mo 0.750 0.250 0.500  3.65
Mo 0.250 0.750 0.500  3.65
Cu 0.000 0.000 0.000  0.05
F 0.330 0.330 0.341  0.07
F 0.670 0.670 0.659  0.07


c:
Computed, not measured: a geometry-optimized CuMo2F2 structure at the GGA+U level of DFT.

Output
volume = 17.7 Å³/atom
total magnetization = 8.63 μB/f.u.
space-group type = P4/mbm

Cell lengths 7.435, 7.435, 3.203 Å; angles 90.00, 90.00, 90.00 degrees
Each line ends with the local moment (μB).
Element x y z (fractional)
Mo 0.242 0.742 0.500  3.63
Mo 0.742 0.758 0.500  3.62
Mo 0.758 0.258 0.500  3.63
Mo 0.258 0.242 0.500  3.62
Cu 0.000 0.000 0.000  0.11
Cu 0.500 0.500 0.000  0.11
F 0.381 0.881 0.000  0.07
F 0.881 0.619 0.000  0.07
F 0.619 0.119 0.000  0.07
F 0.119 0.381 0.000  0.07


Which one sits at the bottom of the stability order? a does.


a:
Computed, not measured: a geometry-optimized CuMoF6 structure at the GGA+U level of DFT.

Output
volume = 14.5 Å³/atom
total magnetization = 3.05 μB/f.u.
space-group type = C2/m

Cell lengths 5.110, 5.110, 5.261 Å; angles 98.71, 98.71, 118.04 degrees
Each line ends with the local moment (μB).
Element x y z (fractional)
Cu 0.000 0.000 0.000  0.75
Mo 0.500 0.500 0.500  1.91
F 0.273 0.273 0.734  0.02
F 0.382 0.095 0.245  0.07
F 0.727 0.727 0.266  0.02
F 0.905 0.618 0.755  0.07
F 0.618 0.905 0.755  0.07
F 0.095 0.382 0.245  0.07


b:
Computed, not measured: a geometry-optimized CuMoF6 structure at the GGA+U level of DFT.

Output
volume = 14.1 Å³/atom
total magnetization = 2.98 μB/f.u.
space-group type = P-1

Cell lengths 5.105, 5.283, 5.599 Å; angles 60.92, 65.02, 62.48 degrees
Each line ends with the local moment (μB).
Element x y z (fractional)
Cu 0.000 0.000 0.000  0.74
Mo 0.500 0.500 0.500  1.90
F 0.238 0.888 0.244  0.09
F 0.762 0.112 0.756  0.09
F 0.404 0.724 0.735  0.01
F 0.596 0.276 0.265  0.01
F 0.866 0.636 0.254  0.05
F 0.134 0.364 0.746  0.05


Which one sits at the bottom of the stability order? a does.


a:
Computed, not measured: a geometry-optimized Cu3MoF structure at the GGA+U level of DFT.

Output
volume = 15.1 Å³/atom
total magnetization = 4.51 μB/f.u.
space-group type = Pm-3m

Cell lengths 4.223, 4.223, 4.223 Å; angles 90.00, 90.00, 90.00 degrees
Each line ends with the local moment (μB).
Element x y z (fractional)
Mo 0.500 0.500 0.500  3.62
Cu 0.000 0.500 0.000  0.11
Cu 0.000 0.000 0.500  0.05
Cu 0.500 0.000 0.000  0.16
F 0.000 0.000 0.000  0.05


b:
Computed, not measured: a geometry-optimized Cu3MoF structure at the GGA+U level of DFT.

Output
volume = 21.6 Å³/atom
total magnetization = 0.02 μB/f.u.
space-group type = Pm-3m

Cell lengths 4.764, 4.764, 4.764 Å; angles 90.00, 90.00, 90.00 degrees
Element x y z (fractional)
Mo 0.000 0.000 0.000
Cu 0.000 0.500 0.000
Cu 0.000 0.000 0.500
Cu 0.500 0.000 0.000
F 0.500 0.500 0.500


Which one sits at the bottom of the stability order? b does.